Here is a geometry-optimized AlCuRu2 structure from Alexandria via LeMat-Bulk. Energies are from PBE-GGA.

Cell and atoms, written as extended XYZ:
```
4
Lattice="-2.506 -2.718 -2.808 0.184 -3.494 -3.051 -0.768 -3.497 2.657" Properties=species:S:1:pos:R:3 pbc="T T T"
Ru -2.329 -7.338 -2.352
Ru -0.763 -3.462 2.606
Cu -0.781 -2.468 -0.762
Al -1.531 -4.792 -1.638
```

Properties
As for the crystal system: monoclinic. The value obtained for the energy relative to the elements is -0.13 eV per atom.

=====

Here is a geometry-optimized Dy5CuPb4 structure from Alexandria via LeMat-Bulk. Energies are from PBE-GGA.

Cell and atoms, written as extended XYZ:
```
10
Lattice="6.257 0.000 0.000 3.128 6.886 0.000 3.128 0.000 6.886" Properties=species:S:1:pos:R:3 pbc="T T T"
Dy 2.992 4.229 1.351
Dy 3.776 0.000 0.000
Dy 6.120 1.351 2.657
Dy 9.248 2.657 5.535
Dy 6.120 5.535 4.229
Pb 6.090 4.214 1.374
Pb 2.962 1.374 2.672
Pb 6.090 2.672 5.512
Pb 9.219 5.512 4.214
Cu 0.628 0.000 0.000
```

Properties
As for the crystal system: tetragonal. The value obtained for the energy relative to the elements is -0.24 eV per atom.

=====

Here is a geometry-optimized BaNbP structure from Alexandria via LeMat-Bulk. Energies are from PBE-GGA.

Cell and atoms, written as extended XYZ:
```
6
Lattice="-0.211 -2.497 -3.138 0.077 -3.144 2.497 -10.811 3.015 0.899" Properties=species:S:1:pos:R:3 pbc="T T T"
Ba -7.654 0.136 0.407
Ba -3.292 -2.763 -0.149
P -1.748 0.031 0.093
P -9.198 -2.658 0.165
Nb 0.038 -1.572 1.248
Nb -0.106 -1.248 -1.569
```

Properties
As for the crystal system: tetragonal. The value obtained for the energy relative to the elements is -0.72 eV per atom.

=====

Here is a geometry-optimized VZnGaNi structure from Alexandria via LeMat-Bulk. Energies are from PBE-GGA.

Cell and atoms, written as extended XYZ:
```
4
Lattice="-0.122 4.044 1.219 -2.446 1.155 3.247 1.759 1.156 3.664" Properties=species:S:1:pos:R:3 pbc="T T T"
V -0.202 1.589 2.032
Ni -0.404 3.177 4.065
Ga -0.606 4.766 6.097
Zn 0.000 0.000 0.000
```

Properties
As for the crystal system: cubic. The value obtained for the energy relative to the elements is -0.04 eV per atom.

=====

Here is a geometry-optimized Cs4Ac3TiSe8 structure from Alexandria via LeMat-Bulk. Energies are from PBE-GGA.

Cell and atoms, written as extended XYZ:
```
16
Lattice="8.951 0.000 0.000 0.000 9.855 0.627 -4.475 -4.471 6.335" Properties=species:S:1:pos:R:3 pbc="T T T"
Cs -2.238 -2.235 3.168
Cs 4.475 0.000 0.000
Cs 2.238 -2.235 3.168
Cs 0.000 0.000 0.000
Ac 4.475 4.928 0.314
Ac -2.238 2.692 3.481
Ac 2.238 2.692 3.481
Se 0.000 0.553 3.553
Se -2.462 2.393 6.592
Se 4.475 0.532 3.851
Se 6.938 2.992 0.370
Se 4.475 4.832 3.409
Se 2.462 2.393 6.592
Se 0.000 4.853 3.111
Se 2.013 2.992 0.370
Ti 0.000 4.928 0.314
```

Properties
As for the crystal system: trigonal. For the formation energy (no corrections), the calculation gives -1568 meV/atom.

=====

Here is a geometry-optimized Mo2OsBr structure from Alexandria via LeMat-Bulk. Energies are from PBE-GGA.

Cell and atoms, written as extended XYZ:
```
4
Lattice="-4.668 -7.263 -2.062 -1.975 -8.401 -2.077 -3.450 -8.167 0.437" Properties=species:S:1:pos:R:3 pbc="T T T"
Mo -10.078 -23.795 -3.698
Mo -5.061 -11.950 -1.857
Br -7.570 -17.873 -2.777
Os -2.523 -5.958 -0.926
```

Properties
For the energy above the lowest structure with this stoichiometry, the calculation gives 0.078 eV/f.u. As for the crystal system: trigonal. For the formation energy (no corrections), the calculation gives 493 meV/atom.

=====

Here is a geometry-optimized TiInNiIr2 structure from Alexandria via LeMat-Bulk. Energies are from PBE-GGA.

Cell and atoms, written as extended XYZ:
```
5
Lattice="4.527 0.000 0.000 0.000 4.527 0.000 0.000 0.000 4.458" Properties=species:S:1:pos:R:3 pbc="T T T"
Ni 0.000 0.000 0.000
Ir 2.263 0.000 0.000
Ir 0.000 2.263 0.000
In 0.000 0.000 2.229
Ti 2.263 2.263 2.229
```

Properties
As for the crystal system: tetragonal. The value obtained for the energy relative to the elements is 0.87 eV per atom.

=====

Here is a geometry-optimized LaGaAg structure from Alexandria via LeMat-Bulk. Energies are from PBE-GGA.

Cell and atoms, written as extended XYZ:
```
18
Lattice="4.352 0.000 0.000 0.000 7.367 0.000 0.000 0.000 13.515" Properties=species:S:1:pos:R:3 pbc="T T T"
La 0.000 5.437 6.257
La 0.000 0.966 3.379
La 0.000 6.401 10.136
La 0.000 5.437 0.500
La 0.000 1.930 7.257
La 0.000 1.930 13.015
Ga 0.000 4.142 3.379
Ga 2.176 7.065 7.998
Ga 2.176 0.302 5.517
Ga 2.176 0.302 1.241
Ga 0.000 3.225 10.136
Ga 2.176 7.065 12.274
Ag 2.176 4.262 8.540
Ag 2.176 1.547 10.136
Ag 2.176 3.105 4.974
Ag 2.176 3.105 1.783
Ag 2.176 5.820 3.379
Ag 2.176 4.262 11.732
```

Properties
As for the crystal system: orthorhombic. The value obtained for the energy relative to the elements is -0.45 eV per atom.

=====

Here is a geometry-optimized Ac2HfO5 structure from Alexandria via LeMat-Bulk. Energies are from PBE-GGA.

Cell and atoms, written as extended XYZ:
```
16
Lattice="-5.215 -0.984 -2.314 4.953 -3.732 -2.333 -2.521 -3.202 7.044" Properties=species:S:1:pos:R:3 pbc="T T T"
Ac -0.257 -4.938 2.339
Ac -2.526 -2.980 0.058
Ac -4.032 -4.628 3.471
Ac 1.248 -3.291 -1.074
O -2.071 -6.373 3.612
O 0.743 -5.658 4.469
O -3.526 -2.260 -2.072
O -4.684 -3.658 1.104
O -2.096 -3.354 2.643
O -6.548 -3.280 3.216
O -0.713 -1.546 -1.215
O -1.188 -0.906 1.514
O -0.687 -4.565 -0.246
O 1.901 -4.260 1.293
Hf 0.000 0.000 0.000
Hf -1.260 -1.601 3.522
```

Properties
As for the crystal system: monoclinic. For the formation energy (no corrections), the calculation gives -3446 meV/atom.

=====

Here is a geometry-optimized YNbCr structure from Alexandria via LeMat-Bulk. Energies are from PBE-GGA.

Cell and atoms, written as extended XYZ:
```
12
Lattice="-3.781 -0.949 0.564 3.076 -9.579 4.504 0.152 2.525 5.267" Properties=species:S:1:pos:R:3 pbc="T T T"
Cr -1.662 -0.437 1.878
Cr 1.109 -7.566 8.458
Cr 1.462 -2.302 5.923
Cr 1.767 -4.752 3.848
Y 0.916 -2.102 2.602
Y 2.313 -4.952 7.169
Y 0.563 -7.366 5.136
Y -1.116 -0.637 5.199
Nb -0.276 -4.001 5.168
Nb -0.352 -5.264 2.534
Nb 0.000 0.000 0.000
Nb 0.076 1.263 2.634
```

Properties
For the energy above the lowest structure with this stoichiometry, the calculation gives 0.000 eV/f.u. As for the crystal system: orthorhombic. The value obtained for the energy relative to the elements is 0.26 eV per atom.

=====

Here is a geometry-optimized Cs2SnBr2Cl4 structure from Alexandria via LeMat-Bulk. Energies are from PBE-GGA.

Cell and atoms, written as extended XYZ:
```
9
Lattice="7.666 -0.010 -0.014 -3.689 6.720 0.014 -3.689 -2.348 6.297" Properties=species:S:1:pos:R:3 pbc="T T T"
Cl -1.505 3.381 4.880
Cl -3.689 4.675 1.431
Cl -3.689 -0.302 4.880
Cl 1.794 0.982 1.417
Sn 0.000 0.000 0.000
Cs 0.144 -0.086 4.719
Cs 0.144 4.448 1.578
Br -1.826 1.082 1.562
Br -5.551 3.290 4.749
```

Properties
As for the crystal system: tetragonal. For the formation energy (no corrections), the calculation gives -1426 meV/atom.

=====

Here is a geometry-optimized Li3Pd2Pb structure from Alexandria via LeMat-Bulk. Energies are from PBE-GGA.

Cell and atoms, written as extended XYZ:
```
12
Lattice="-1.861 -1.266 3.382 7.956 -9.052 -1.449 2.261 2.563 2.203" Properties=species:S:1:pos:R:3 pbc="T T T"
Li 2.271 1.328 1.747
Li 3.134 -3.601 2.817
Li 2.802 -0.809 3.679
Li 5.553 -6.945 0.457
Li 5.221 -4.154 1.319
Li 6.084 -9.082 2.390
Pd 8.038 -7.059 1.782
Pd 0.317 -0.696 2.354
Pd 5.090 -1.575 2.212
Pd 3.265 -6.180 1.924
Pb 5.752 -6.294 3.251
Pb 2.603 -1.461 0.886
```

Properties
For the energy above the lowest structure with this stoichiometry, the calculation gives 0.000 eV/f.u. As for the crystal system: monoclinic. The value obtained for the energy relative to the elements is -0.39 eV per atom.

=====

Which density belongs to each record? In order, 8.95; 9.54; 4.94; 7.62; 5.38; 11.89; 11.01; 7.28; 8.99; 6.12; 3.52; 7.52 Mg/m³.